(1)
Here is an optimized crystal structure of CeSm2ThP4 from the Alexandria database. Energies are from PBE.

abc: 4.120 7.132 7.118
angles: 109.54 90.00 90.00
Each line ends with the local moment (μB).
Fractional coordinates of all 8 atoms:
Ce: 0.500 0.500 0.000  0.53
Sm: 0.500 0.000 0.500  0.02
Sm: 0.000 0.500 0.500  0.01
Th: 0.000 0.000 0.000  0.01
P: 0.500 0.251 0.249  0.00
P: 0.500 0.749 0.751  0.00
P: 0.000 0.252 0.752  -0.01
P: 0.000 0.748 0.248  -0.01

Values from the calculation:
* magnetization: 0.66 μB/f.u.
* DOS at the Fermi energy: 6.49 states/eV/f.u.
* DFT total energy: -7.123 eV/atom

=====

(2)
Here is an optimized crystal structure of Ce3Sm4ThP8 from the Alexandria database. Energies are from PBE.

abc: 8.216 8.209 8.216
angles: 120.03 120.00 90.00
Each line ends with the local moment (μB).
Fractional coordinates of all 16 atoms:
Ce: 0.500 0.500 0.000  -0.48
Ce: 0.500 0.500 0.500  -0.48
Ce: 0.000 0.500 0.500  -0.48
Sm: 0.500 0.000 0.000  -0.01
Sm: 0.500 0.000 0.500  -0.01
Sm: 0.000 0.000 0.000  -0.01
Sm: 0.000 0.000 0.500  -0.01
Th: 0.000 0.500 0.000  -0.01
P: 0.250 0.748 0.998  0.01
P: 0.250 0.748 0.500  0.01
P: 0.251 0.253 0.502  0.01
P: 0.748 0.748 0.998  0.01
P: 0.252 0.252 0.002  0.01
P: 0.749 0.747 0.498  0.01
P: 0.750 0.252 0.500  0.01
P: 0.750 0.252 0.002  0.01

Values from the calculation:
* magnetization: 1.64 μB/f.u.
* DOS at the Fermi energy: 16.24 states/eV/f.u.
* DFT total energy: -7.019 eV/atom